## HfSi3Ag (PBE)

Data for a relaxed structure of HfSi3Ag.

Calculated values
**ΔE_f (raw)**: 1100.3 meV/atom
**E above lowest polymorph**: 20.2 kJ/mol of atoms

Unit cell a=4.7465 b=4.7465 c=4.7465 alpha=90.00 beta=90.00 gamma=90.00
Last column: nearest neighbours and their distance in Å.
Sites, in units of the cell vectors:
Hf 0.0000 0.0000 0.0000  12 Si 3.36
Si 0.0000 0.5000 0.5000  2 Ag 2.37
Si 0.5000 0.0000 0.5000  2 Ag 2.37
Si 0.5000 0.5000 0.0000  2 Ag 2.37
Ag 0.5000 0.5000 0.5000  6 Si 2.37

## HfNp4N5 (PBE)

Data for a relaxed structure of HfNp4N5.

Calculated values
**ΔE_f (raw)**: -1250.3 meV/atom

Unit cell a=5.8766 b=5.8766 c=5.8766 alpha=99.61 beta=99.61 gamma=131.77
Last column: nearest neighbours and their distance in Å.
Sites, in units of the cell vectors:
Hf 0.0000 0.0000 0.0000  6 N 2.30-2.40
Np 0.1997 0.4005 0.6002  6 N 2.39-2.49
Np 0.4005 0.8003 0.2008  6 N 2.39-2.49
Np 0.5995 0.1997 0.7992  6 N 2.39-2.49
Np 0.8003 0.5995 0.3998  6 N 2.39-2.49
N 0.0976 0.7131 0.8107  1 Hf 2.30, 5 Np 2.39-2.49
N 0.2869 0.0976 0.3845  1 Hf 2.30, 5 Np 2.39-2.49
N 0.5000 0.5000 0.0000  4 Np 2.40, 2 Hf 2.40
N 0.7131 0.9024 0.6155  1 Hf 2.30, 5 Np 2.39-2.49
N 0.9024 0.2869 0.1893  1 Hf 2.30, 5 Np 2.39-2.49

## Na2TlAs (PBE)

Data for a relaxed structure of Na2TlAs.

Calculated values
**Energy relative to the elements**: -301 meV per atom

Unit cell a=6.4604 b=4.5730 c=7.8943 alpha=90.00 beta=112.71 gamma=90.00
Last column: nearest neighbours and their distance in Å.
Sites, in units of the cell vectors:
Na 0.1439 0.2500 0.4117  3 As 3.03-3.09
Na 0.2056 0.7500 0.0640  3 As 2.99-3.03, 3 Tl 3.18-3.35
Na 0.7944 0.2500 0.9360  3 As 2.99-3.03, 3 Tl 3.18-3.35
Na 0.8561 0.7500 0.5883  3 As 3.03-3.09
Tl 0.4356 0.7500 0.7499  2 As 2.98, 2 Na 3.18
Tl 0.5644 0.2500 0.2501  2 As 2.98, 2 Na 3.18
As 0.1697 0.2500 0.8028  2 Tl 2.98, 6 Na 2.99-3.09
As 0.8303 0.7500 0.1972  2 Tl 2.98, 6 Na 2.99-3.09

## BaAcTlPb (PBE)

Data for a relaxed structure of BaAcTlPb.

Calculated values
**E above lowest polymorph**: 0.0 kJ/mol of atoms
**Energy relative to the elements**: -449 meV per atom

Unit cell a=4.8641 b=6.9056 c=6.9056 alpha=43.12 beta=90.00 gamma=90.00
Last column: nearest neighbours and their distance in Å.
Sites, in units of the cell vectors:
Ba 0.0000 0.0000 0.0000  3 Pb 3.58-3.81, 4 Tl 3.59
Ac 0.5000 0.2699 0.2699  4 Pb 3.57, 3 Tl 3.70-3.72
Tl 0.5000 0.5583 0.5583  2 Pb 3.21
Pb 0.0000 0.7212 0.7212  2 Tl 3.21, 4 Ac 3.57, 1 Ba 3.58

## GaTe2Ir (PBE)

Data for a relaxed structure of GaTe2Ir.

Calculated values
**ΔE_f (raw)**: 6.8 meV/atom

Unit cell a=8.9739 b=8.9739 c=8.9739 alpha=26.05 beta=26.05 gamma=26.05
Last column: nearest neighbours and their distance in Å.
Sites, in units of the cell vectors:
Ga 0.0000 0.0000 0.0000  2 Te 3.03
Te 0.1167 0.1167 0.1167  3 Ir 2.67
Te 0.8833 0.8833 0.8833  3 Ir 2.67
Ir 0.5000 0.5000 0.5000  6 Te 2.67